(1)
A relaxed structure of Er3Cd2Ni2. Source: Alexandria via LeMat-Bulk, functional PBE-GGA.

- ΔE_f (meV per atom) = -422
- Fermi-level density of states (states/eV/cell) = 4.6

Lattice parameters (Å, degrees): 3.8418 3.6560 10.9718 90.00 79.92 90.00
Closest atoms and distances in Å follow each position.
Atoms (fractional coordinates):
Er  0.8243  0.0000  0.3515  6 Ni 2.80-2.94
Er  0.0000  0.0000  0.0000  8 Cd 3.24
Er  0.1757  0.0000  0.6485  6 Ni 2.80-2.94
Cd  0.5859  0.5000  0.8282  1 Ni 2.85
Cd  0.4141  0.5000  0.1718  1 Ni 2.85
Ni  0.7178  0.5000  0.5645  2 Ni 2.37
Ni  0.2822  0.5000  0.4355  2 Ni 2.37

***

(2)
A relaxed structure of Er4CdNi2. Source: Alexandria via LeMat-Bulk, functional PBE-GGA.

- ΔE_f (meV per atom) = -288
- Fermi-level density of states (states/eV/cell) = 12.4

Lattice parameters (Å, degrees): 6.7039 6.6423 8.5599 107.77 108.09 102.12
Closest atoms and distances in Å follow each position.
Atoms (fractional coordinates):
Er  0.9774  0.1963  0.3273  3 Ni 2.76-2.90
Er  0.3911  0.4797  0.1916  3 Ni 2.65-2.96
Er  0.8411  0.6025  0.6016  3 Ni 2.73-2.91, 1 Cd 3.05
Er  0.7294  0.1779  0.7575  4 Ni 2.73-3.01
Er  0.4500  0.0384  0.3088  3 Ni 2.65-2.95
Er  0.2221  0.1711  0.7426  4 Ni 2.74-3.01
Er  0.4885  0.7515  0.8983  3 Ni 2.73-2.92, 1 Cd 3.05
Er  0.8993  0.6187  0.1720  3 Ni 2.76-2.90
Cd  0.3066  0.7266  0.5168  1 Ni 2.76, 2 Er 3.05-3.06
Cd  0.0406  0.9595  0.9830  1 Ni 2.76, 2 Er 3.05-3.06
Ni  0.4350  0.3811  0.5805  6 Er 2.73-2.92, 1 Cd 2.76
Ni  0.7765  0.8919  0.4375  5 Er 2.65-2.96
Ni  0.5887  0.2046  0.0627  5 Er 2.65-2.95
Ni  0.1038  0.5501  0.9196  6 Er 2.73-2.92, 1 Cd 2.76

***

(3)
A relaxed structure of Er12CdNi6. Source: Alexandria via LeMat-Bulk, functional PBE-GGA.

- ΔE_f (meV per atom) = -351
- Fermi-level density of states (states/eV/cell) = 24.2

Lattice parameters (Å, degrees): 8.3129 8.3129 8.3129 109.47 109.47 109.47
Closest atoms and distances in Å follow each position.
Atoms (fractional coordinates):
Er  0.3022  0.1152  0.8130  3 Ni 2.63-2.87
Er  0.3022  0.4892  0.1870  3 Ni 2.63-2.87
Er  0.6978  0.5108  0.8130  3 Ni 2.63-2.87
Er  0.6978  0.8848  0.1870  3 Ni 2.63-2.87
Er  0.1152  0.8130  0.3022  3 Ni 2.63-2.87
Er  0.4892  0.1870  0.3022  3 Ni 2.63-2.87
Er  0.5108  0.8130  0.6978  3 Ni 2.63-2.87
Er  0.8848  0.1870  0.6978  3 Ni 2.63-2.87
Er  0.8130  0.3022  0.1152  3 Ni 2.63-2.87
Er  0.1870  0.3022  0.4892  3 Ni 2.63-2.87
Er  0.8130  0.6978  0.5108  3 Ni 2.63-2.87
Er  0.1870  0.6978  0.8848  3 Ni 2.63-2.87
Cd  0.0000  0.0000  0.0000  12 Er 3.41
Ni  0.3762  0.5000  0.8762  1 Ni 2.38, 2 Er 2.63
Ni  0.6238  0.5000  0.1238  1 Ni 2.38, 2 Er 2.63
Ni  0.5000  0.8762  0.3762  1 Ni 2.38, 2 Er 2.63
Ni  0.5000  0.1238  0.6238  1 Ni 2.38, 2 Er 2.63
Ni  0.8762  0.3762  0.5000  1 Ni 2.38, 2 Er 2.63
Ni  0.1238  0.6238  0.5000  1 Ni 2.38, 2 Er 2.63

***

(4)
A relaxed structure of Er11Cd9Ni4. Source: Alexandria via LeMat-Bulk, functional PBE-GGA.

- ΔE_f (meV per atom) = -394
- Fermi-level density of states (states/eV/cell) = 17.9

Lattice parameters (Å, degrees): 3.5291 13.0192 13.0192 112.71 90.00 90.00
Closest atoms and distances in Å follow each position.
Atoms (fractional coordinates):
Er  0.0000  0.5824  0.9168  2 Ni 2.72
Er  0.0000  0.4176  0.0832  2 Ni 2.72
Er  0.0000  0.9168  0.5824  2 Ni 2.72
Er  0.0000  0.0832  0.4176  2 Ni 2.72
Er  0.0000  0.6269  0.3731  4 Ni 2.84
Er  0.0000  0.3731  0.6269  4 Ni 2.84
Er  0.0000  0.8398  0.1602  8 Cd 3.19-3.37, 3 Er 3.47-3.53
Er  0.0000  0.1602  0.8398  8 Cd 3.19-3.37, 3 Er 3.47-3.53
Er  0.0000  0.0000  0.0000  8 Cd 3.16, 4 Er 3.47-3.53
Er  0.0000  0.6895  0.6895  4 Ni 2.85
Er  0.0000  0.3105  0.3105  4 Ni 2.85
Cd  0.5000  0.6339  0.1566  1 Cd 3.02, 1 Ni 3.08, 6 Er 3.14-3.36
Cd  0.5000  0.3661  0.8434  1 Cd 3.02, 1 Ni 3.08, 6 Er 3.14-3.36
Cd  0.5000  0.1566  0.6339  1 Cd 3.02, 1 Ni 3.08, 6 Er 3.14-3.36
Cd  0.5000  0.8434  0.3661  1 Cd 3.02, 1 Ni 3.08, 6 Er 3.14-3.36
Cd  0.5000  0.7818  0.9237  1 Ni 3.01, 1 Cd 3.07, 8 Er 3.11-3.37
Cd  0.5000  0.2182  0.0763  1 Ni 3.01, 1 Cd 3.07, 8 Er 3.11-3.37
Cd  0.5000  0.9237  0.7818  1 Ni 3.01, 1 Cd 3.07, 8 Er 3.11-3.37
Cd  0.5000  0.0763  0.2182  1 Ni 3.01, 1 Cd 3.07, 8 Er 3.11-3.37
Cd  0.5000  0.5000  0.5000  4 Ni 3.04, 8 Er 3.25-3.27
Ni  0.5000  0.5491  0.7479  6 Er 2.72-2.85, 2 Cd 3.01-3.04
Ni  0.5000  0.4509  0.2521  6 Er 2.72-2.85, 2 Cd 3.01-3.04
Ni  0.5000  0.7479  0.5491  6 Er 2.72-2.85, 2 Cd 3.01-3.04
Ni  0.5000  0.2521  0.4509  6 Er 2.72-2.85, 2 Cd 3.01-3.04

***

Question: Which of these has the lowest ΔE_f?
Answer: Er3Cd2Ni2

***

Question: Which of these has the highest ΔE_f?
Answer: Er4CdNi2

***

Question: Number 4 is which compound?
Answer: Er11Cd9Ni4

***

Question: ΔE_f of number 4 (Er11Cd9Ni4)?
Answer: -394 meV per atom